1.
{"formula": "CsAs2Pd", "functional": "PBE", "state": "optimized geometry", "lattice": [[2.071, 1.196, 7.399], [-2.071, 1.196, 7.399], [0.000, -2.391, 7.399]], "species": ["Cs", "As", "As", "Pd"], "fractional_positions": [[0.000, 0.000, 0.000], [0.204, 0.204, 0.204], [0.451, 0.451, 0.451], [0.826, 0.826, 0.826]], "total_magnetization_mub_per_fu": 0.0, "final_energy_ev_per_atom": -4.1542, "formation_energy_ev_per_atom": -0.318}

2.
{"formula": "CaGaSn", "functional": "PBE", "state": "optimized geometry", "lattice": [[4.555, 0.000, 0.000], [-2.278, 3.945, 0.000], [0.000, 0.000, 8.900]], "species": ["Ca", "Ca", "Ga", "Ga", "Sn", "Sn"], "fractional_positions": [[0.000, 0.000, 0.000], [0.000, 0.000, 0.500], [0.333, 0.667, 0.250], [0.667, 0.333, 0.750], [0.333, 0.667, 0.750], [0.667, 0.333, 0.250]], "total_magnetization_mub_per_fu": 0.0, "final_energy_ev_per_atom": -3.4127, "formation_energy_ev_per_atom": -0.402}

3.
{"formula": "Y3Be2SiPt9", "functional": "PBE", "state": "optimized geometry", "lattice": [[5.761, 0.000, 0.000], [-2.881, 4.989, 0.000], [0.000, 0.000, 9.225]], "species": ["Y", "Y", "Y", "Be", "Be", "Si", "Pt", "Pt", "Pt", "Pt", "Pt", "Pt", "Pt", "Pt", "Pt"], "fractional_positions": [[0.000, 0.000, 0.000], [0.333, 0.667, 0.607], [0.667, 0.333, 0.393], [0.333, 0.667, 0.153], [0.667, 0.333, 0.847], [0.000, 0.000, 0.500], [0.000, 0.500, 0.000], [0.164, 0.327, 0.306], [0.164, 0.836, 0.306], [0.327, 0.164, 0.694], [0.500, 0.000, 0.000], [0.500, 0.500, 0.000], [0.673, 0.836, 0.306], [0.836, 0.164, 0.694], [0.836, 0.673, 0.694]], "total_magnetization_mub_per_fu": 0.0, "final_energy_ev_per_atom": -6.6562, "formation_energy_uncorrected_kcal_per_mol_atoms": -20.31}

4.
{"formula": "InGa6Pt", "functional": "PBE", "state": "optimized geometry", "lattice": [[3.481, -4.362, 0.000], [3.481, 4.362, 0.000], [-2.245, 0.000, 5.115]], "species": ["In", "Ga", "Ga", "Ga", "Ga", "Ga", "Ga", "Pt"], "fractional_positions": [[0.000, 0.000, 0.000], [0.096, 0.578, 0.259], [0.416, 0.416, 0.726], [0.422, 0.904, 0.741], [0.578, 0.096, 0.259], [0.584, 0.584, 0.274], [0.904, 0.422, 0.741], [0.000, 0.000, 0.500]], "total_magnetization_mub_per_fu": 0.0, "final_energy_ev_per_atom": -3.5127, "formation_energy_ev_per_atom": -0.145}